(1)
The following is a DFT calculation (PBEsol) of a relaxed structure of TmAgTe2.

Geometry as POSCAR:
```
TmAgTe2
1.0
4.387 0.000 0.000
-2.194 3.799 0.000
0.000 0.000 7.144
Tm Ag Te
1 1 2
Cartesian
0.000 0.000 0.000
0.000 2.533 4.308
0.000 2.533 1.595
2.194 1.266 5.395
```

Summary:
As for the space group: P3m1, No. 156. The volume is 29.77 Å³/atom. The value obtained for the energy relative to the elements, uncorrected is -828.5 meV per atom. The total DFT energy (no corrections) is -4.64 eV per atom. The total magnetic moment is 0.0 μB per cell.

(2)
The following is a DFT calculation (PBEsol) of a relaxed structure of Ag2TeW.

Geometry as POSCAR:
```
Ag2TeW
1.0
5.533 -1.571 0.000
5.533 1.571 0.000
-1.853 0.000 4.138
Ag Te W
2 1 1
Cartesian
2.263 0.000 1.016
6.950 0.000 3.122
-0.926 0.000 2.069
5.533 0.000 0.000
```

Summary:
As for the space group: C2/m, No. 12. The volume is 17.98 Å³/atom. The value obtained for the energy relative to the elements, uncorrected is 654.6 meV per atom. The total DFT energy (no corrections) is -5.33 eV per atom. The total magnetic moment is 0.0 μB per cell.

(3)
The following is a DFT calculation (PBEsol) of a relaxed structure of AgTeW2.

Geometry as POSCAR:
```
AgTeW2
1.0
-1.610 2.307 4.710
1.610 -2.307 4.710
1.610 2.307 -4.710
Ag Te W
1 1 2
Cartesian
0.000 0.000 0.000
0.000 0.000 4.710
1.610 0.000 2.483
0.000 2.307 2.226
```

Summary:
As for the space group: Immm, No. 71. The volume is 17.49 Å³/atom. The value obtained for the energy relative to the elements, uncorrected is 867.0 meV per atom. The total DFT energy (no corrections) is -7.75 eV per atom. The total magnetic moment is 0.0 μB per cell.

(4)
The following is a DFT calculation (PBEsol) of a relaxed structure of AgTeW2.

Geometry as POSCAR:
```
AgTeW2
1.0
1.624 -2.409 0.000
1.624 2.409 0.000
0.000 0.000 9.549
Ag Te W
1 1 2
Cartesian
0.000 0.000 0.000
1.624 0.000 6.750
0.000 0.000 4.266
1.624 0.000 2.298
```

Summary:
As for the space group: Cmm2, No. 35. The volume is 18.69 Å³/atom. The value obtained for the energy relative to the elements, uncorrected is 586.3 meV per atom. The total DFT energy (no corrections) is -8.03 eV per atom. The total magnetic moment is 0.0 μB per cell.

(5)
The following is a DFT calculation (PBEsol) of a relaxed structure of AgTeW2.

Geometry as POSCAR:
```
AgTeW2
1.0
3.185 0.000 0.000
0.000 3.185 0.000
0.000 0.000 6.674
Ag Te W
1 1 2
Cartesian
0.000 0.000 0.000
0.000 0.000 3.337
1.592 1.592 1.668
1.592 1.592 5.006
```

Summary:
As for the space group: P4/mmm, No. 123. The volume is 16.92 Å³/atom. The value obtained for the energy relative to the elements, uncorrected is 883.7 meV per atom. The total DFT energy (no corrections) is -7.73 eV per atom. The total magnetic moment is 0.0 μB per cell.

(6)
The following is a DFT calculation (PBEsol) of a relaxed structure of AgTeW2.

Geometry as POSCAR:
```
AgTeW2
1.0
3.235 0.000 0.000
0.000 4.582 0.000
0.000 0.000 4.739
Ag Te W
1 1 2
Cartesian
0.000 0.000 0.000
1.618 2.291 0.000
0.000 2.291 2.369
1.618 0.000 2.369
```

Summary:
As for the space group: Pmmm, No. 47. The volume is 17.56 Å³/atom. The value obtained for the energy relative to the elements, uncorrected is 904.0 meV per atom. The total DFT energy (no corrections) is -7.71 eV per atom. The total magnetic moment is 0.0 μB per cell.

(7)
The following is a DFT calculation (PBEsol) of a relaxed structure of Y2AgTe.

Geometry as POSCAR:
```
Y2AgTe
1.0
0.000 3.663 3.663
3.663 0.000 3.663
3.663 3.663 0.000
Y Ag Te
2 1 1
Cartesian
0.000 0.000 0.000
1.831 1.831 1.831
5.494 5.494 5.494
3.663 3.663 3.663
```

Summary:
As for the space group: F-43m, No. 216. The volume is 24.57 Å³/atom. The value obtained for the energy relative to the elements, uncorrected is -66.2 meV per atom. The total DFT energy (no corrections) is -5.19 eV per atom. The total magnetic moment is 0.0 μB per cell.

(8)
The following is a DFT calculation (PBEsol) of a relaxed structure of Y2AgTe.

Geometry as POSCAR:
```
Y2AgTe
1.0
2.054 1.186 7.363
-2.054 1.186 7.363
0.000 -2.372 7.363
Y Ag Te
2 1 1
Cartesian
0.000 0.000 5.443
0.000 0.000 16.646
0.000 0.000 11.044
0.000 0.000 0.000
```

Summary:
As for the space group: R-3m, No. 166. The volume is 26.90 Å³/atom. The value obtained for the energy relative to the elements, uncorrected is -757.9 meV per atom. The total DFT energy (no corrections) is -5.88 eV per atom. The total magnetic moment is 0.0 μB per cell.

(9)
The following is a DFT calculation (PBEsol) of a relaxed structure of Y2AgTe.

Geometry as POSCAR:
```
Y2AgTe
1.0
-2.407 2.442 4.125
2.407 -2.442 4.125
2.407 2.442 -4.125
Y Ag Te
2 1 1
Cartesian
0.000 0.000 2.063
0.000 0.000 6.187
0.000 2.442 0.000
2.407 0.000 0.000
```

Summary:
As for the space group: Immm, No. 71. The volume is 24.24 Å³/atom. The value obtained for the energy relative to the elements, uncorrected is -628.9 meV per atom. The total DFT energy (no corrections) is -5.75 eV per atom. The total magnetic moment is 0.0 μB per cell.

(10)
The following is a DFT calculation (PBEsol) of a relaxed structure of YAgTe3.

Geometry as POSCAR:
```
YAgTe3
1.0
5.307 0.000 0.000
0.000 5.307 0.000
0.000 0.000 5.307
Y Ag Te
1 1 3
Cartesian
0.000 0.000 0.000
2.654 2.654 2.654
0.000 2.654 2.654
2.654 0.000 2.654
2.654 2.654 0.000
```

Summary:
As for the space group: Pm-3m, No. 221. The volume is 29.90 Å³/atom. The value obtained for the energy relative to the elements, uncorrected is -65.3 meV per atom. The total DFT energy (no corrections) is -4.21 eV per atom. The total magnetic moment is 0.0 μB per cell.

(11)
The following is a DFT calculation (PBEsol) of a relaxed structure of Y2Ag2Te.

Geometry as POSCAR:
```
Y2Ag2Te
1.0
-1.887 1.887 8.453
1.887 -1.887 8.453
1.887 1.887 -8.453
Y Ag Te
2 2 1
Cartesian
0.000 0.000 1.827
0.000 0.000 15.079
1.887 0.000 4.227
0.000 1.887 4.227
0.000 0.000 8.453
```

Summary:
As for the space group: I4/mmm, No. 139. The volume is 24.07 Å³/atom. The value obtained for the energy relative to the elements, uncorrected is -503.2 meV per atom. The total DFT energy (no corrections) is -5.26 eV per atom. The total magnetic moment is 0.0 μB per cell.

(12)
The following is a DFT calculation (PBEsol) of a relaxed structure of ZnAgTe2.

Geometry as POSCAR:
```
ZnAgTe2
1.0
3.591 -1.996 0.000
3.591 1.996 0.000
-2.362 0.000 6.502
Zn Ag Te
1 1 2
Cartesian
0.000 0.000 0.000
2.410 0.000 3.251
0.207 0.000 4.921
4.612 0.000 1.580
```

Summary:
As for the space group: C2/m, No. 12. The volume is 23.29 Å³/atom. The value obtained for the energy relative to the elements, uncorrected is -81.1 meV per atom. The total DFT energy (no corrections) is -3.07 eV per atom. The total magnetic moment is 0.0 μB per cell.

(13)
The following is a DFT calculation (PBEsol) of a relaxed structure of ZnAgTe2.

Geometry as POSCAR:
```
ZnAgTe2
1.0
0.000 3.530 3.530
3.530 0.000 3.530
3.530 3.530 0.000
Zn Ag Te
1 1 2
Cartesian
0.000 0.000 0.000
3.530 3.530 3.530
1.765 1.765 1.765
5.295 5.295 5.295
```

Summary:
As for the space group: Fm-3m, No. 225. The volume is 21.99 Å³/atom. The value obtained for the energy relative to the elements, uncorrected is 256.2 meV per atom. The total DFT energy (no corrections) is -2.73 eV per atom. The total magnetic moment is 0.0 μB per cell.

(14)
The following is a DFT calculation (PBEsol) of a relaxed structure of ZnAgTe2.

Geometry as POSCAR:
```
ZnAgTe2
1.0
3.113 -3.970 0.000
3.113 3.970 0.000
-2.108 0.000 3.879
Zn Ag Te
1 1 2
Cartesian
0.000 0.000 0.000
3.113 0.000 0.000
0.503 1.985 1.940
0.503 -1.985 1.940
```

Summary:
As for the space group: C2/m, No. 12. The volume is 23.97 Å³/atom. The value obtained for the energy relative to the elements, uncorrected is 36.6 meV per atom. The total DFT energy (no corrections) is -2.95 eV per atom. The total magnetic moment is 0.0 μB per cell.

(15)
The following is a DFT calculation (PBEsol) of a relaxed structure of ZnAgTe2.

Geometry as POSCAR:
```
ZnAgTe2
1.0
-1.970 1.970 6.162
1.970 -1.970 6.162
1.970 1.970 -6.162
Zn Ag Te
1 1 2
Cartesian
0.000 0.000 0.000
0.000 1.970 3.081
1.970 0.000 3.081
0.000 0.000 6.162
```

Summary:
As for the space group: I-4m2, No. 119. The volume is 23.91 Å³/atom. The value obtained for the energy relative to the elements, uncorrected is 151.1 meV per atom. The total DFT energy (no corrections) is -2.84 eV per atom. The total magnetic moment is 0.0 μB per cell.

(16)
The following is a DFT calculation (PBEsol) of a relaxed structure of ZnAgTe2.

Geometry as POSCAR:
```
ZnAgTe2
1.0
-3.096 3.096 5.991
3.096 -3.096 5.991
3.096 3.096 -5.991
Zn Ag Te
2 2 4
Cartesian
0.000 0.000 0.000
0.000 3.096 2.996
3.096 0.000 2.996
0.000 0.000 5.991
4.643 1.474 -1.498
1.474 1.548 1.498
-1.548 1.622 4.494
1.622 1.548 7.489
```

Summary:
As for the space group: I-42d, No. 122. The volume is 28.71 Å³/atom. The value obtained for the energy relative to the elements, uncorrected is -122.1 meV per atom. The total DFT energy (no corrections) is -3.11 eV per atom. The total magnetic moment is 0.0 μB per cell.

(17)
The following is a DFT calculation (PBEsol) of a relaxed structure of Zr2AgTe.

Geometry as POSCAR:
```
Zr2AgTe
1.0
1.684 0.973 9.267
-1.684 0.973 9.267
0.000 -1.945 9.267
Zr Ag Te
2 1 1
Cartesian
0.000 0.000 0.000
0.000 0.000 6.875
0.000 0.000 20.736
0.000 0.000 13.963
```

Summary:
As for the space group: R3m, No. 160. The volume is 22.77 Å³/atom. The value obtained for the energy relative to the elements, uncorrected is -113.7 meV per atom. The total DFT energy (no corrections) is -6.37 eV per atom. The total magnetic moment is 0.0 μB per cell.

(18)
The following is a DFT calculation (PBEsol) of a relaxed structure of Ti2Ag.

Geometry as POSCAR:
```
Ti2Ag
1.0
-1.448 1.448 5.902
1.448 -1.448 5.902
1.448 1.448 -5.902
Ti Ag
2 1
Cartesian
0.000 0.000 2.024
0.000 0.000 9.780
0.000 0.000 5.902
```

Summary:
As for the space group: I4/mmm, No. 139. The volume is 16.51 Å³/atom. Its energy relative to the elements is -70 meV/atom. The total DFT energy (no corrections) is -6.72 eV per atom. The total magnetic moment is 0.0 μB per cell.

(19)
The following is a DFT calculation (PBEsol) of a relaxed structure of TiAg.

Geometry as POSCAR:
```
TiAg
1.0
2.873 0.000 0.000
0.000 2.873 0.000
0.000 0.000 8.017
Ti Ag
2 2
Cartesian
0.718 0.718 0.936
2.155 2.155 7.080
0.718 0.718 5.026
2.155 2.155 2.991
```

Summary:
As for the space group: P4/nmm, No. 129. The volume is 16.54 Å³/atom. Its energy relative to the elements is -76 meV/atom. The total DFT energy (no corrections) is -5.89 eV per atom. The total magnetic moment is 0.0 μB per cell.

(20)
The following is a DFT calculation (PBEsol) of a relaxed structure of TiTl2Ag.

Geometry as POSCAR:
```
TiTl2Ag
1.0
0.000 3.431 3.431
3.431 0.000 3.431
3.431 3.431 0.000
Ti Tl Ag
1 2 1
Cartesian
0.000 0.000 0.000
1.715 1.715 1.715
5.146 5.146 5.146
3.431 3.431 3.431
```

Summary:
As for the space group: Fm-3m, No. 225. The volume is 20.19 Å³/atom. Its energy relative to the elements is 243 meV/atom. The total DFT energy (no corrections) is -3.98 eV per atom. The total magnetic moment is 1.1 μB per cell.

(21)
The following is a DFT calculation (PBEsol) of a relaxed structure of TiAg2W.

Geometry as POSCAR:
```
TiAg2W
1.0
0.000 3.192 3.192
3.192 0.000 3.192
3.192 3.192 0.000
Ti Ag W
1 2 1
Cartesian
0.000 0.000 0.000
1.596 1.596 1.596
4.788 4.788 4.788
3.192 3.192 3.192
```

Summary:
As for the space group: Fm-3m, No. 225. The volume is 16.26 Å³/atom. Its energy relative to the elements is 656 meV/atom. The total DFT energy (no corrections) is -6.53 eV per atom. The total magnetic moment is 0.0 μB per cell.

(22)
The following is a DFT calculation (PBEsol) of a relaxed structure of TiAgW3.

Geometry as POSCAR:
```
TiAgW3
1.0
4.699 0.000 0.000
0.000 4.699 0.000
0.000 0.000 4.699
Ti Ag W
1 1 3
Cartesian
0.000 0.000 0.000
2.350 2.350 2.350
0.000 2.350 2.350
2.350 0.000 2.350
2.350 2.350 0.000
```

Summary:
As for the space group: Pm-3m, No. 221. The volume is 20.76 Å³/atom. Its energy relative to the elements is 2757 meV/atom. The total DFT energy (no corrections) is -7.85 eV per atom. The total magnetic moment is 0.0 μB per cell.

(23)
The following is a DFT calculation (PBEsol) of a relaxed structure of YTi3Ag.

Geometry as POSCAR:
```
YTi3Ag
1.0
4.693 0.000 0.000
0.000 4.693 0.000
0.000 0.000 4.693
Y Ti Ag
1 3 1
Cartesian
0.000 0.000 0.000
0.000 0.000 2.346
0.000 2.346 0.000
2.346 0.000 0.000
2.346 2.346 2.346
```

Summary:
As for the space group: Pm-3m, No. 221. The volume is 20.67 Å³/atom. Its energy relative to the elements is 1523 meV/atom. The total DFT energy (no corrections) is -5.50 eV per atom. The total magnetic moment is 1.3 μB per cell.

(24)
The following is a DFT calculation (PBEsol) of a relaxed structure of YTiAg3.

Geometry as POSCAR:
```
YTiAg3
1.0
4.867 0.000 0.000
0.000 4.867 0.000
0.000 0.000 4.867
Y Ti Ag
1 1 3
Cartesian
0.000 0.000 0.000
2.433 2.433 2.433
0.000 2.433 2.433
2.433 0.000 2.433
2.433 2.433 0.000
```

Summary:
As for the space group: Pm-3m, No. 221. The volume is 23.05 Å³/atom. Its energy relative to the elements is 586 meV/atom. The total DFT energy (no corrections) is -4.43 eV per atom. The total magnetic moment is 1.0 μB per cell.

(25)
The following is a DFT calculation (PBEsol) of a relaxed structure of YTi2Ag.

Geometry as POSCAR:
```
YTi2Ag
1.0
0.000 3.338 3.338
3.338 0.000 3.338
3.338 3.338 0.000
Y Ti Ag
1 2 1
Cartesian
0.000 0.000 0.000
1.669 1.669 1.669
5.007 5.007 5.007
3.338 3.338 3.338
```

Summary:
As for the space group: Fm-3m, No. 225. The volume is 18.60 Å³/atom. Its energy relative to the elements is 326 meV/atom. The total DFT energy (no corrections) is -6.37 eV per atom. The total magnetic moment is 0.0 μB per cell.

(26)
The following is a DFT calculation (PBEsol) of a relaxed structure of ZrTiAg2.

Geometry as POSCAR:
```
ZrTiAg2
1.0
0.000 3.317 3.317
3.317 0.000 3.317
3.317 3.317 0.000
Zr Ti Ag
1 1 2
Cartesian
0.000 0.000 0.000
3.317 3.317 3.317
1.658 1.658 1.658
4.975 4.975 4.975
```

Summary:
As for the space group: Fm-3m, No. 225. The volume is 18.25 Å³/atom. Its energy relative to the elements is 75 meV/atom. The total DFT energy (no corrections) is -5.93 eV per atom. The total magnetic moment is 1.8 μB per cell.

(27)
The following is a DFT calculation (PBEsol) of a relaxed structure of Tl7Ag.

Geometry as POSCAR:
```
Tl7Ag
1.0
0.000 4.722 4.722
4.722 0.000 4.722
4.722 4.722 0.000
Tl Ag
7 1
Cartesian
0.000 0.000 0.000
2.361 2.361 0.000
2.361 0.000 2.361
4.722 2.361 2.361
0.000 2.361 2.361
2.361 4.722 2.361
2.361 2.361 4.722
4.722 4.722 4.722
```

Summary:
As for the space group: Fm-3m, No. 225. The volume is 26.32 Å³/atom. Its energy relative to the elements is 86 meV/atom. The total DFT energy (no corrections) is -2.63 eV per atom. The total magnetic moment is 0.0 μB per cell.

(28)
The following is a DFT calculation (PBEsol) of a relaxed structure of TlAg8.

Geometry as POSCAR:
```
TlAg8
1.0
-4.362 4.362 2.051
4.362 -4.362 2.051
4.362 4.362 -2.051
Tl Ag
1 8
Cartesian
0.000 0.000 0.000
2.942 0.000 0.000
5.783 0.000 0.000
2.871 2.871 0.000
1.491 -1.491 2.051
0.000 2.942 0.000
0.000 5.783 0.000
-1.491 1.491 2.051
1.491 1.491 2.051
```

Summary:
As for the space group: I4/mmm, No. 139. The volume is 17.34 Å³/atom. Its energy relative to the elements is 35 meV/atom. The total DFT energy (no corrections) is -3.20 eV per atom. The total magnetic moment is 0.0 μB per cell.